1.
# Sr2YOs | Alexandria via LeMat-Bulk | PBE | optimized geometry
# Formation enthalpy at 0 K, meV/atom: 789
# Polymorph energy (0 for the lowest one), meV per atom: 593
# SG: R-3m (166)
data_Sr2YOs
_chemical_formula_sum 'Sr6 Y3 Os3'
_cell_length_a 3.602
_cell_length_b 3.602
_cell_length_c 33.926
_cell_angle_alpha 90.00
_cell_angle_beta 90.00
_cell_angle_gamma 120.00
_space_group_name_H-M_alt 'P 1'
_space_group_IT_number 1
loop_
_space_group_symop_operation_xyz
'x,y,z'
loop_
_atom_site_label
_atom_site_type_symbol
_atom_site_fract_x
_atom_site_fract_y
_atom_site_fract_z
Sr1 Sr 0.000 0.000 0.231
Sr2 Sr 0.000 0.000 0.769
Sr3 Sr 0.333 0.667 0.436
Sr4 Sr 0.333 0.667 0.897
Sr5 Sr 0.667 0.333 0.103
Sr6 Sr 0.667 0.333 0.564
Y1 Y 0.000 0.000 0.000
Y2 Y 0.333 0.667 0.667
Y3 Y 0.667 0.333 0.333
Os1 Os 0.000 0.000 0.500
Os2 Os 0.333 0.667 0.167
Os3 Os 0.667 0.333 0.833

2.
# SrY2Os | Alexandria via LeMat-Bulk | PBE | optimized geometry
# Formation enthalpy at 0 K, meV/atom: 115
# Polymorph energy (0 for the lowest one), meV per atom: 188
# SG: Cm (8)
data_SrY2Os
_chemical_formula_sum 'Sr2 Y4 Os2'
_cell_length_a 10.184
_cell_length_b 3.829
_cell_length_c 7.229
_cell_angle_alpha 90.00
_cell_angle_beta 112.77
_cell_angle_gamma 90.00
_space_group_name_H-M_alt 'P 1'
_space_group_IT_number 1
loop_
_space_group_symop_operation_xyz
'x,y,z'
loop_
_atom_site_label
_atom_site_type_symbol
_atom_site_fract_x
_atom_site_fract_y
_atom_site_fract_z
Sr1 Sr 0.000 0.000 0.000
Sr2 Sr 0.500 0.500 0.000
Y1 Y 0.174 0.000 0.640
Y2 Y 0.365 0.000 0.346
Y3 Y 0.674 0.500 0.640
Y4 Y 0.865 0.500 0.346
Os1 Os 0.154 0.500 0.362
Os2 Os 0.654 0.000 0.362

What did the second record say?
# SrY2Os | Alexandria via LeMat-Bulk | PBE | optimized geometry
# Formation enthalpy at 0 K, meV/atom: 115
# Polymorph energy (0 for the lowest one), meV per atom: 188
# SG: Cm (8)
data_SrY2Os
_chemical_formula_sum 'Sr2 Y4 Os2'
_cell_length_a 10.184
_cell_length_b 3.829
_cell_length_c 7.229
_cell_angle_alpha 90.00
_cell_angle_beta 112.77
_cell_angle_gamma 90.00
_space_group_name_H-M_alt 'P 1'
_space_group_IT_number 1
loop_
_space_group_symop_operation_xyz
'x,y,z'
loop_
_atom_site_label
_atom_site_type_symbol
_atom_site_fract_x
_atom_site_fract_y
_atom_site_fract_z
Sr1 Sr 0.000 0.000 0.000
Sr2 Sr 0.500 0.500 0.000
Y1 Y 0.174 0.000 0.640
Y2 Y 0.365 0.000 0.346
Y3 Y 0.674 0.500 0.640
Y4 Y 0.865 0.500 0.346
Os1 Os 0.154 0.500 0.362
Os2 Os 0.654 0.000 0.362